Er3Tm2Zr2 after structural relaxation. Source: the Alexandria database, functional PBE. Values from VASP.

Geometry as Quantum ESPRESSO input:
```
&SYSTEM
  ibrav = 0, nat = 7, ntyp = 3
/
ATOMIC_SPECIES
Er 167.26 Er.upf
Tm 168.93 Tm.upf
Zr 91.22 Zr.upf
ATOMIC_POSITIONS crystal
Er 0.000 0.000 0.000
Er 0.156 0.844 0.000
Er 0.844 0.156 0.000
Tm 0.423 0.577 0.500
Tm 0.577 0.423 0.500
Zr 0.280 0.720 0.500
Zr 0.720 0.280 0.500
CELL_PARAMETERS angstrom
2.572 -11.410 0.000
2.572 11.410 0.000
0.000 0.000 3.378
```



PmNd7Sm4 after structural relaxation. Source: the Alexandria database, functional PBE. Values from VASP.

Energy relative to the lowest polymorph listed for this composition   190 meV per atom

Geometry as Quantum ESPRESSO input:
```
&SYSTEM
  ibrav = 0, nat = 12, ntyp = 3
/
ATOMIC_SPECIES
Pm 145.00 Pm.upf
Nd 144.24 Nd.upf
Sm 150.36 Sm.upf
ATOMIC_POSITIONS crystal
Pm 0.000 0.000 0.000
Nd 0.083 0.083 0.442
Nd 0.209 0.209 0.228
Nd 0.212 0.212 0.878
Nd 0.500 0.500 0.000
Nd 0.788 0.788 0.122
Nd 0.791 0.791 0.772
Nd 0.917 0.917 0.558
Sm 0.328 0.328 0.611
Sm 0.427 0.427 0.302
Sm 0.573 0.573 0.698
Sm 0.672 0.672 0.389
CELL_PARAMETERS angstrom
8.185 -3.044 0.000
8.185 3.044 0.000
-4.159 0.000 8.519
```



BeZnRh2 after structural relaxation. Source: the Alexandria database, functional PBE. Values from VASP.

Energy relative to the lowest polymorph listed for this composition   185 meV per atom

Geometry as Quantum ESPRESSO input:
```
&SYSTEM
  ibrav = 0, nat = 4, ntyp = 3
/
ATOMIC_SPECIES
Be 9.01 Be.upf
Zn 65.41 Zn.upf
Rh 102.91 Rh.upf
ATOMIC_POSITIONS crystal
Be 0.000 0.000 0.000
Zn 0.000 0.000 0.500
Rh 0.500 0.500 0.221
Rh 0.500 0.500 0.779
CELL_PARAMETERS angstrom
1.488 -2.271 0.000
1.488 2.271 0.000
0.000 0.000 7.581
```



LiMgAu2 after structural relaxation. Source: the Alexandria database, functional PBE. Values from VASP.

Geometry as Quantum ESPRESSO input:
```
&SYSTEM
  ibrav = 0, nat = 4, ntyp = 3
/
ATOMIC_SPECIES
Li 6.94 Li.upf
Mg 24.30 Mg.upf
Au 196.97 Au.upf
ATOMIC_POSITIONS crystal
Li 0.000 0.000 0.000
Mg 0.500 0.500 0.305
Au 0.000 0.000 0.509
Au 0.500 0.500 0.821
CELL_PARAMETERS angstrom
3.017 0.000 0.000
0.000 4.043 0.000
0.000 0.000 5.686
```



no.,E (eV for the cell shown),N(E_F) (states/eV per atom),energy of formation (eV/atom)
1,-39.4,1.525,0.05
2,-54.6,1.621,0.20
3,-20.8,0.805,-0.28
4,-11.9,0.301,-0.46